[1]
# ScReMo2 | Alexandria via LeMat-Bulk | PBE | relaxed
data_ScReMo2
_chemical_formula_sum 'Sc2 Re2 Mo4'
_symmetry_space_group_name_H-M 'C 1 2/m 1'
_symmetry_Int_Tables_number 12
_cell_length_a 5.491
_cell_length_b 9.021
_cell_length_c 2.779
_cell_angle_alpha 90.00
_cell_angle_beta 108.91
_cell_angle_gamma 90.00
loop_
_symmetry_equiv_pos_as_xyz
'x,y,z'
'-x,-y,-z'
'-x,y,-z'
'x,-y,z'
'x+1/2,y+1/2,z'
'-x+1/2,-y+1/2,-z'
'-x+1/2,y+1/2,-z'
'x+1/2,-y+1/2,z'
loop_
_atom_site_label
_atom_site_fract_x
_atom_site_fract_y
_atom_site_fract_z
Sc1 0.000 0.000 0.000
Re1 0.000 0.500 0.000
Mo1 0.250 0.250 0.500
# Calculated formation energy = 0.026 eV/atom
# Size of the total moment = 0.000 μB per atom
# Crystal system = monoclinic
# ΔE to the lowest computed polymorph = 80 meV per atom

[2]
# ScReMo2 | Alexandria via LeMat-Bulk | PBE | relaxed
data_ScReMo2
_chemical_formula_sum 'Sc1 Re1 Mo2'
_symmetry_space_group_name_H-M 'P 4/m m m'
_symmetry_Int_Tables_number 123
_symmetry_space_group_name_Hall '-P 4 2'
_cell_length_a 3.786
_cell_length_b 3.786
_cell_length_c 4.647
_cell_angle_alpha 90.00
_cell_angle_beta 90.00
_cell_angle_gamma 90.00
loop_
_atom_site_label
_atom_site_fract_x
_atom_site_fract_y
_atom_site_fract_z
Sc1 0.000 0.000 0.000
Re1 0.500 0.500 0.000
Mo1 0.000 0.500 0.500
# Calculated formation energy = 0.266 eV/atom
# Size of the total moment = 0.000 μB per atom
# Crystal system = tetragonal
# ΔE to the lowest computed polymorph = 321 meV per atom

[3]
# ScReMo2 | Alexandria via LeMat-Bulk | PBE | relaxed
data_ScReMo2
_chemical_formula_sum 'Sc2 Re2 Mo4'
_symmetry_space_group_name_H-M 'I -4 m 2'
_symmetry_Int_Tables_number 119
_symmetry_space_group_name_Hall 'I -4 -2'
_cell_length_a 4.510
_cell_length_b 4.510
_cell_length_c 6.396
_cell_angle_alpha 90.00
_cell_angle_beta 90.00
_cell_angle_gamma 90.00
loop_
_atom_site_label
_atom_site_fract_x
_atom_site_fract_y
_atom_site_fract_z
Sc1 0.000 0.000 0.000
Re1 0.000 0.500 0.250
Mo1 0.000 0.000 0.500
Mo2 0.000 0.500 0.750
# Calculated formation energy = 0.005 eV/atom
# Size of the total moment = 0.000 μB per atom
# Crystal system = tetragonal
# ΔE to the lowest computed polymorph = 59 meV per atom

[4]
# ScRe2Mo | Alexandria via LeMat-Bulk | PBE | relaxed
data_ScRe2Mo
_chemical_formula_sum 'Sc1 Re2 Mo1'
_symmetry_space_group_name_H-M 'P 4/m m m'
_symmetry_Int_Tables_number 123
_symmetry_space_group_name_Hall '-P 4 2'
_cell_length_a 3.162
_cell_length_b 3.162
_cell_length_c 6.505
_cell_angle_alpha 90.00
_cell_angle_beta 90.00
_cell_angle_gamma 90.00
loop_
_atom_site_label
_atom_site_fract_x
_atom_site_fract_y
_atom_site_fract_z
Sc1 0.000 0.000 0.000
Re1 0.500 0.500 0.267
Mo1 0.000 0.000 0.500
# Calculated formation energy = -0.072 eV/atom
# Size of the total moment = 0.000 μB per atom
# Crystal system = tetragonal
# ΔE to the lowest computed polymorph = 2 meV per atom

[5]
# ScRe2Mo | Alexandria via LeMat-Bulk | PBE | relaxed
data_ScRe2Mo
_chemical_formula_sum 'Sc3 Re6 Mo3'
_symmetry_space_group_name_H-M 'R 3 m'
_symmetry_Int_Tables_number 160
_symmetry_space_group_name_Hall 'R 3 -2"'
_cell_length_a 2.8592
_cell_length_b 2.8592
_cell_length_c 27.9047
_cell_angle_alpha 90.00
_cell_angle_beta 90.00
_cell_angle_gamma 120.00
loop_
_atom_site_label
_atom_site_fract_x
_atom_site_fract_y
_atom_site_fract_z
Sc1 0.0000 0.0000 0.0000
Re1 0.0000 0.0000 0.4966
Re2 0.0000 0.0000 0.7535
Mo1 0.0000 0.0000 0.2446
# Calculated formation energy = 0.216 eV/atom
# Size of the total moment = 0.000 μB per atom
# Crystal system = trigonal
# ΔE to the lowest computed polymorph = 289 meV per atom

[6]
# ScRe2Mo | Alexandria via LeMat-Bulk | PBE | relaxed
data_ScRe2Mo
_chemical_formula_sum 'Sc4 Re8 Mo4'
_symmetry_space_group_name_H-M 'I -4 2 d'
_symmetry_Int_Tables_number 122
_symmetry_space_group_name_Hall 'I -4 2bw'
_cell_length_a 7.288
_cell_length_b 7.288
_cell_length_c 5.378
_cell_angle_alpha 90.00
_cell_angle_beta 90.00
_cell_angle_gamma 90.00
loop_
_atom_site_label
_atom_site_fract_x
_atom_site_fract_y
_atom_site_fract_z
Sc1 0.000 0.000 0.000
Re1 0.220 0.750 0.625
Mo1 0.000 0.000 0.500
# Calculated formation energy = 0.632 eV/atom
# Size of the total moment = 0.000 μB per atom
# Crystal system = tetragonal
# ΔE to the lowest computed polymorph = 705 meV per atom

[7]
# ScReMo2 | Alexandria via LeMat-Bulk | PBE | relaxed
data_ScReMo2
_chemical_formula_sum 'Sc4 Re4 Mo8'
_symmetry_space_group_name_H-M 'I -4 2 d'
_symmetry_Int_Tables_number 122
_symmetry_space_group_name_Hall 'I -4 2bw'
_cell_length_a 7.364
_cell_length_b 7.364
_cell_length_c 5.434
_cell_angle_alpha 90.00
_cell_angle_beta 90.00
_cell_angle_gamma 90.00
loop_
_atom_site_label
_atom_site_fract_x
_atom_site_fract_y
_atom_site_fract_z
Sc1 0.000 0.000 0.000
Re1 0.000 0.000 0.500
Mo1 0.212 0.250 0.625
# Calculated formation energy = 0.575 eV/atom
# Size of the total moment = 0.000 μB per atom
# Crystal system = tetragonal
# ΔE to the lowest computed polymorph = 630 meV per atom

[8]
# ScReMo2 | Alexandria via LeMat-Bulk | PBE | relaxed
data_ScReMo2
_chemical_formula_sum 'Sc1 Re1 Mo2'
_symmetry_space_group_name_H-M 'P 1 2/m 1'
_symmetry_Int_Tables_number 10
_cell_length_a 2.804
_cell_length_b 4.492
_cell_length_c 5.291
_cell_angle_alpha 90.00
_cell_angle_beta 100.91
_cell_angle_gamma 90.00
loop_
_symmetry_equiv_pos_as_xyz
'x,y,z'
'-x,-y,-z'
'-x,y,-z'
'x,-y,z'
loop_
_atom_site_label
_atom_site_fract_x
_atom_site_fract_y
_atom_site_fract_z
Sc1 0.000 0.000 0.000
Re1 0.500 0.000 0.500
Mo1 0.270 0.500 0.747
# Calculated formation energy = 0.013 eV/atom
# Size of the total moment = 0.000 μB per atom
# Crystal system = monoclinic
# ΔE to the lowest computed polymorph = 68 meV per atom

[9]
# Sc2Re2Mo | Alexandria via LeMat-Bulk | PBE | relaxed
data_Sc2Re2Mo
_chemical_formula_sum 'Sc4 Re4 Mo2'
_symmetry_space_group_name_H-M 'P 4/m b m'
_symmetry_Int_Tables_number 127
_symmetry_space_group_name_Hall '-P 4 2ab'
_cell_length_a 6.494
_cell_length_b 6.494
_cell_length_c 4.514
_cell_angle_alpha 90.00
_cell_angle_beta 90.00
_cell_angle_gamma 90.00
loop_
_atom_site_label
_atom_site_fract_x
_atom_site_fract_y
_atom_site_fract_z
Sc1 0.175 0.325 0.000
Re1 0.132 0.632 0.500
Mo1 0.000 0.000 0.500
# Calculated formation energy = 0.064 eV/atom
# Size of the total moment = 0.000 μB per atom
# Crystal system = tetragonal
# ΔE to the lowest computed polymorph = 0 meV per atom

[10]
# ScRe2Mo | Alexandria via LeMat-Bulk | PBE | relaxed
data_ScRe2Mo
_chemical_formula_sum 'Sc1 Re2 Mo1'
_symmetry_space_group_name_H-M 'P 1 2/m 1'
_symmetry_Int_Tables_number 10
_cell_length_a 2.782
_cell_length_b 4.475
_cell_length_c 5.227
_cell_angle_alpha 90.00
_cell_angle_beta 100.04
_cell_angle_gamma 90.00
loop_
_symmetry_equiv_pos_as_xyz
'x,y,z'
'-x,-y,-z'
'-x,y,-z'
'x,-y,z'
loop_
_atom_site_label
_atom_site_fract_x
_atom_site_fract_y
_atom_site_fract_z
Sc1 0.000 0.000 0.000
Re1 0.270 0.500 0.751
Mo1 0.500 0.000 0.500
# Calculated formation energy = -0.020 eV/atom
# Size of the total moment = 0.000 μB per atom
# Crystal system = monoclinic
# ΔE to the lowest computed polymorph = 53 meV per atom

[11]
# ScRe2Mo | Alexandria via LeMat-Bulk | PBE | relaxed
data_ScRe2Mo
_chemical_formula_sum 'Sc2 Re4 Mo2'
_symmetry_space_group_name_H-M 'C 1 2/m 1'
_symmetry_Int_Tables_number 12
_cell_length_a 5.496
_cell_length_b 8.932
_cell_length_c 2.775
_cell_angle_alpha 90.00
_cell_angle_beta 110.14
_cell_angle_gamma 90.00
loop_
_symmetry_equiv_pos_as_xyz
'x,y,z'
'-x,-y,-z'
'-x,y,-z'
'x,-y,z'
'x+1/2,y+1/2,z'
'-x+1/2,-y+1/2,-z'
'-x+1/2,y+1/2,-z'
'x+1/2,-y+1/2,z'
loop_
_atom_site_label
_atom_site_fract_x
_atom_site_fract_y
_atom_site_fract_z
Sc1 0.000 0.000 0.000
Re1 0.250 0.250 0.500
Mo1 0.000 0.500 0.000
# Calculated formation energy = -0.009 eV/atom
# Size of the total moment = 0.000 μB per atom
# Crystal system = monoclinic
# ΔE to the lowest computed polymorph = 64 meV per atom

[12]
# Sc2Re2Mo | Alexandria via LeMat-Bulk | PBE | relaxed
data_Sc2Re2Mo
_chemical_formula_sum 'Sc4 Re4 Mo2'
_symmetry_space_group_name_H-M 'I 4/m m m'
_symmetry_Int_Tables_number 139
_symmetry_space_group_name_Hall '-I 4 2'
_cell_length_a 3.489
_cell_length_b 3.489
_cell_length_c 16.504
_cell_angle_alpha 90.00
_cell_angle_beta 90.00
_cell_angle_gamma 90.00
loop_
_atom_site_label
_atom_site_fract_x
_atom_site_fract_y
_atom_site_fract_z
Sc1 0.000 0.000 0.101
Re1 0.000 0.500 0.250
Mo1 0.000 0.000 0.500
# Calculated formation energy = 0.610 eV/atom
# Size of the total moment = 0.369 μB per atom
# Crystal system = tetragonal
# ΔE to the lowest computed polymorph = 546 meV per atom